Entry 1:
Na2VInF8 | PBE with a Hubbard U | relaxed

Output
Its total moment is 2.00 μB/cell. The value obtained for the total energy is -5.0645 eV per atom. The symmetry is No. 65.

a = 5.101 Å, b = 5.110 Å, c = 6.629 Å
α = 90.00°, β = 90.00°, γ = 92.34°
Each line ends with the local moment (μB).
Element x y z (fractional)
1 F 0.729 0.729 0.500  0.00
2 F 0.177 0.823 0.264  0.00
3 Na 0.500 0.500 0.257  0.00
4 F 0.288 0.288 0.000  0.00
5 F 0.271 0.271 0.500  0.00
6 In 0.000 0.000 0.000  0.01
7 F 0.177 0.823 0.736  0.00
8 V 0.000 0.000 0.500  1.91
9 F 0.712 0.712 0.000  0.00
10 F 0.823 0.177 0.264  0.00
11 F 0.823 0.177 0.736  0.00
12 Na 0.500 0.500 0.743  0.00



Entry 2:
NaIn2WF | PBE with a Hubbard U | relaxed

Output
Its total moment is 3.93 μB/cell. The value obtained for the total energy is -3.3758 eV per atom. The symmetry is No. 123.

a = 5.098 Å, b = 4.155 Å, c = 5.098 Å
α = 90.00°, β = 90.00°, γ = 90.00°
Each line ends with the local moment (μB).
Element x y z (fractional)
1 In 0.500 0.000 0.000  -0.05
2 Na 0.000 0.500 0.000  0.00
3 In 0.000 0.000 0.500  -0.05
4 F 0.000 0.000 0.000  0.00
5 W 0.500 0.500 0.500  3.27



The records above give, respectively, density of states at the Fermi level values of 0.0 1.4 states/eV/f.u..